Entry 1:
Here is a relaxed Ba3Hg crystal from Alexandria via LeMat-Bulk. Energies are from PBE.

a = 5.7023 Å, b = 5.7023 Å, c = 5.7023 Å
α = 90.00°, β = 90.00°, γ = 90.00°
Positions (direct):
Ba 0.5000 0.5000 0.0000
Ba 0.0000 0.5000 0.5000
Ba 0.5000 0.0000 0.5000
Hg 0.0000 0.0000 0.0000

offset from the most stable computed form = 17.0 kJ/mol of atoms
crystal system = cubic
electronic total energy = -6.41 eV/cell
energy of formation = -86 meV per atom

---

Entry 2:
Here is a relaxed Ac2YSn3Pd4 crystal from Alexandria via LeMat-Bulk. Energies are from PBE.

a = 4.7007 Å, b = 4.7007 Å, c = 11.1971 Å
α = 90.00°, β = 90.00°, γ = 90.00°
Positions (direct):
Pd 0.0000 0.0000 0.0000
Pd 0.5000 0.5000 0.0000
Pd 0.5000 0.0000 0.6427
Pd 0.0000 0.5000 0.3573
Sn 0.0000 0.5000 0.1205
Sn 0.5000 0.0000 0.8795
Sn 0.0000 0.0000 0.5000
Ac 0.0000 0.5000 0.7718
Ac 0.5000 0.0000 0.2282
Y 0.5000 0.5000 0.5000

crystal system = tetragonal
electronic total energy = -55.91 eV/cell
energy of formation = -845 meV per atom

---

Entry 3:
Here is a relaxed Nb2HgBrO crystal from Alexandria via LeMat-Bulk. Energies are from PBE.

a = 4.7533 Å, b = 5.4019 Å, c = 4.7533 Å
α = 90.00°, β = 90.00°, γ = 90.00°
Positions (direct):
O 0.5000 0.5000 0.5000
Hg 0.0000 0.5000 0.0000
Nb 0.5000 0.0000 0.0000
Nb 0.0000 0.0000 0.5000
Br 0.0000 0.0000 0.0000

crystal system = tetragonal
formation energy without anion corrections = 1.71 eV/atom
electronic total energy = -18.50 eV/cell